! BaAc4Cr3O12, optimized geometry, DFT PBE with a Hubbard U; values from VASP
! DFT total energy in eV/cell: -148.160
! Space group: Im-3 (204)
&SYSTEM
  ibrav = 0, nat = 20, ntyp = 4
/
ATOMIC_SPECIES
O 16.00 O.upf
Ac 227.00 Ac.upf
Cr 52.00 Cr.upf
Ba 137.33 Ba.upf
ATOMIC_POSITIONS crystal
O 0.1479 0.8125 0.6647
O 0.3353 0.8521 0.1875
O 0.8521 0.5168 0.6647
O 0.5168 0.6647 0.8521
O 0.6647 0.8521 0.5168
O 0.3353 0.1479 0.4832
O 0.4832 0.3353 0.1479
O 0.1875 0.3353 0.8521
O 0.8521 0.1875 0.3353
O 0.1479 0.4832 0.3353
O 0.6647 0.1479 0.8125
O 0.8125 0.6647 0.1479
Ac 0.0000 0.0000 0.5000
Ac 0.5000 0.0000 0.0000
Ac 0.5000 0.5000 0.5000
Ac 0.0000 0.5000 0.0000
Cr 0.5000 0.0000 0.5000
Cr 0.5000 0.5000 0.0000
Cr 0.0000 0.5000 0.5000
Ba 0.0000 0.0000 0.0000
CELL_PARAMETERS angstrom
-6.5088 0.0548 3.9448
5.1570 -4.2245 3.6726
2.5950 7.1195 -0.7122

=====

! Ba2AcCrO6, optimized geometry, DFT PBE with a Hubbard U; values from VASP
! DFT total energy in eV/cell: -67.927
! Space group: P-3m1 (164)
&SYSTEM
  ibrav = 0, nat = 10, ntyp = 4
/
ATOMIC_SPECIES
Cr 52.00 Cr.upf
O 16.00 O.upf
Ba 137.33 Ba.upf
Ac 227.00 Ac.upf
ATOMIC_POSITIONS crystal
Cr 0.0000 0.0000 0.0000
O 0.1832 0.2974 0.1487
O 0.1832 0.8513 0.1487
O 0.8168 0.7026 0.8513
O 0.8168 0.1487 0.2974
O 0.1832 0.8513 0.7026
O 0.8168 0.1487 0.8513
Ba 0.1116 0.3333 0.6667
Ba 0.8884 0.6667 0.3333
Ac 0.5000 0.0000 0.0000
CELL_PARAMETERS angstrom
-0.4036 -5.9154 1.6188
4.8736 -1.2430 -3.3272
0.6200 1.5440 5.7965

=====

Copy entry 2 word for word.
! Ba2AcCrO6, optimized geometry, DFT PBE with a Hubbard U; values from VASP
! DFT total energy in eV/cell: -67.927
! Space group: P-3m1 (164)
&SYSTEM
  ibrav = 0, nat = 10, ntyp = 4
/
ATOMIC_SPECIES
Cr 52.00 Cr.upf
O 16.00 O.upf
Ba 137.33 Ba.upf
Ac 227.00 Ac.upf
ATOMIC_POSITIONS crystal
Cr 0.0000 0.0000 0.0000
O 0.1832 0.2974 0.1487
O 0.1832 0.8513 0.1487
O 0.8168 0.7026 0.8513
O 0.8168 0.1487 0.2974
O 0.1832 0.8513 0.7026
O 0.8168 0.1487 0.8513
Ba 0.1116 0.3333 0.6667
Ba 0.8884 0.6667 0.3333
Ac 0.5000 0.0000 0.0000
CELL_PARAMETERS angstrom
-0.4036 -5.9154 1.6188
4.8736 -1.2430 -3.3272
0.6200 1.5440 5.7965